[1]
# Pr2BeGa3Au4

An optimized crystal structure of Pr2BeGa3Au4 (PBE-GGA, Alexandria via LeMat-Bulk).

Cell: 4.424 4.424 10.330 Å, 90.00 90.00 90.00°
Positions (direct):
Au1 0.000 0.000 0.000
Au2 0.500 0.000 0.618
Au3 0.000 0.500 0.382
Au4 0.500 0.500 0.000
Be1 0.500 0.500 0.500
Pr1 0.000 0.500 0.742
Pr2 0.500 0.000 0.258
Ga1 0.500 0.000 0.862
Ga2 0.000 0.000 0.500
Ga3 0.000 0.500 0.138

The calculation puts the formation energy from the elements at -5.88 eV/f.u.

[2]
# Sr2FeRh

An optimized crystal structure of Sr2FeRh (PBE-GGA, Alexandria via LeMat-Bulk).

Cell: 5.878 5.878 5.878 Å, 135.48 135.48 64.78°
Site moments in Bohr magnetons follow the coordinates.
Positions (direct):
Sr1 0.250 0.750 0.500  -0.04
Sr2 0.000 0.000 0.000  -0.06
Rh1 0.750 0.250 0.500  0.28
Fe1 0.500 0.500 0.000  2.87

The calculation puts the polymorph energy (0 for the lowest one) at 0.440 eV per atom. The calculation puts the formation energy from the elements at 2.04 eV/f.u.

[3]
# ScBiI2O

An optimized crystal structure of ScBiI2O (PBE-GGA, Alexandria via LeMat-Bulk).

Cell: 6.079 6.079 3.865 Å, 90.00 90.00 90.00°
Positions (direct):
O1 0.000 0.000 0.500
Bi1 0.500 0.500 0.500
I1 0.000 0.500 0.000
I2 0.500 0.000 0.000
Sc1 0.000 0.000 0.000

For the formation energy without anion corrections, the calculation gives -1078 meV/atom. The calculation puts the polymorph energy (0 for the lowest one) at 0.000 eV per atom.

[4]
# CuPd3Pt3

An optimized crystal structure of CuPd3Pt3 (PBE-GGA, Alexandria via LeMat-Bulk).

Cell: 4.616 7.297 7.297 Å, 120.00 90.00 90.00°
Positions (direct):
Pt1 0.250 0.049 0.807
Pt2 0.750 0.242 0.049
Pt3 0.250 0.758 0.951
Pt4 0.750 0.807 0.758
Pt5 0.750 0.951 0.193
Pt6 0.250 0.193 0.242
Cu1 0.250 0.333 0.667
Cu2 0.750 0.667 0.333
Pd1 0.750 0.382 0.474
Pd2 0.250 0.618 0.526
Pd3 0.750 0.526 0.908
Pd4 0.750 0.092 0.618
Pd5 0.250 0.474 0.092
Pd6 0.250 0.908 0.382

The calculation puts the polymorph energy (0 for the lowest one) at 0.000 eV per atom. The calculation puts the formation energy from the elements at -0.12 eV/f.u.

[5]
# K2MgZnPb

An optimized crystal structure of K2MgZnPb (PBE-GGA, Alexandria via LeMat-Bulk).

Cell: 6.205 5.158 6.205 Å, 90.00 90.00 90.00°
Positions (direct):
K1 0.500 0.000 0.000
K2 0.000 0.000 0.500
Zn1 0.000 0.000 0.000
Pb1 0.500 0.500 0.500
Mg1 0.000 0.500 0.000

The calculation puts the formation energy from the elements at 1.38 eV/f.u.

[6]
# Pm2CoSn3

An optimized crystal structure of Pm2CoSn3 (PBE-GGA, Alexandria via LeMat-Bulk).

Cell: 4.619 6.038 6.212 Å, 74.88 68.17 67.51°
Positions (direct):
Sn1 0.894 0.584 0.629
Sn2 0.794 0.270 0.142
Sn3 0.164 0.745 0.926
Co1 0.178 0.379 0.265
Pm1 0.421 0.841 0.318
Pm2 0.549 0.181 0.720

The calculation puts the polymorph energy (0 for the lowest one) at 0.000 eV per atom. The calculation puts the formation energy from the elements at -3.11 eV/f.u.